ZrTc2Ir2: relaxed, PBE-GGA.

Output
- Excess energy over the best structure of this formula in the dataset: 0 meV/atom
- Total moment: 0.000 μB/atom
- Formation energy: -0.260 eV per atom
- Symmetry: P4/mbm

Cell: 7.632 7.632 2.779 Å, 90.00 90.00 90.00°
Positions (direct):
Zr: 0.000 0.000 0.000
Zr: 0.500 0.500 0.000
Tc: 0.120 0.380 0.000
Tc: 0.380 0.880 0.000
Tc: 0.620 0.120 0.000
Tc: 0.880 0.620 0.000
Ir: 0.174 0.674 0.500
Ir: 0.326 0.174 0.500
Ir: 0.674 0.826 0.500
Ir: 0.826 0.326 0.500